[1]
## Tm2P2Ru2C (PBE)

Data for Tm2P2Ru2C after structural relaxation.

Values from the calculation:
Uncorrected energy (eV/atom): -7.648
Mass density (g/cm3): 9.1
Space group: C2/m, No. 12
Energy of formation (kJ/mol of atoms): -82.7

abc: 10.8885 3.9135 6.5759
angles: 90.00 126.60 90.00
Atoms (fractional coordinates):
Tm1 0.0647 0.0000 0.3052
Tm2 0.4353 0.5000 0.6948
Tm3 0.5647 0.5000 0.3052
Tm4 0.9353 0.0000 0.6948
P1 0.1684 0.5000 0.6938
P2 0.3316 0.0000 0.3062
P3 0.6684 0.0000 0.6938
P4 0.8316 0.5000 0.3062
Ru1 0.2009 0.5000 0.0924
Ru2 0.2991 0.0000 0.9076
Ru3 0.7009 0.0000 0.0924
Ru4 0.7991 0.5000 0.9076
C1 0.0000 0.5000 0.0000
C2 0.5000 0.0000 0.0000

=====

[2]
## Li2LaW (PBE)

Data for Li2LaW after structural relaxation.

Values from the calculation:
Uncorrected energy (eV/atom): -4.812
Mass density (g/cm3): 7.1
Space group: Cm, No. 8
E above lowest polymorph (meV per atom): 113
Energy of formation (kJ/mol of atoms): 59.3

abc: 10.8486 2.8856 5.5768
angles: 90.00 115.92 90.00
Atoms (fractional coordinates):
Li1 0.0000 0.0000 0.0000
Li2 0.2359 0.5000 0.0819
Li3 0.5000 0.5000 0.0000
Li4 0.7359 0.0000 0.0819
La1 0.0040 0.5000 0.4899
La2 0.5040 0.0000 0.4899
W1 0.2683 0.0000 0.6167
W2 0.7683 0.5000 0.6167

=====

[3]
## ErRuO (PBE)

Data for ErRuO after structural relaxation.

Values from the calculation:
Raw formation energy (eV/atom): -1.4535
Uncorrected energy (eV/atom): -7.719
Mass density (g/cm3): 9.8
Space group: C2/m, No. 12

abc: 7.6928 3.1239 8.1603
angles: 90.00 100.04 90.00
Atoms (fractional coordinates):
Er1 0.0703 0.0000 0.3398
Er2 0.4297 0.5000 0.6602
Er3 0.5703 0.5000 0.3398
Er4 0.9297 0.0000 0.6602
Ru1 0.1467 0.5000 0.0468
Ru2 0.3533 0.0000 0.9532
Ru3 0.6467 0.0000 0.0468
Ru4 0.8533 0.5000 0.9532
O1 0.1398 0.5000 0.5947
O2 0.3602 0.0000 0.4053
O3 0.6398 0.0000 0.5947
O4 0.8602 0.5000 0.4053

=====

[4]
## TlCoSe2N (PBE)

Data for TlCoSe2N after structural relaxation.

Values from the calculation:
Raw formation energy (eV/atom): 1.7162
Uncorrected energy (eV/atom): -3.237
Mass density (g/cm3): 6.0
Space group: P4/mmm, No. 123
E above lowest polymorph (meV per atom): 1449

abc: 5.4382 5.4382 4.0935
angles: 90.00 90.00 90.00
Atoms (fractional coordinates):
Tl1 0.0000 0.0000 0.0000
Co1 0.5000 0.5000 0.5000
Se1 0.0000 0.5000 0.0000
Se2 0.5000 0.0000 0.0000
N1 0.0000 0.0000 0.5000

=====

[5]
## La6AsOs2Br3 (PBE)

Data for La6AsOs2Br3 after structural relaxation.

Values from the calculation:
Raw formation energy (eV/atom): -1.0765
Uncorrected energy (eV/atom): -6.217
Mass density (g/cm3): 6.9
Space group: C2/m, No. 12

abc: 7.4134 7.4134 8.1221
angles: 99.00 99.00 119.81
Atoms (fractional coordinates):
La1 0.0827 0.4365 0.7989
La2 0.2126 0.2126 0.1994
La3 0.4365 0.0827 0.7989
La4 0.5635 0.9173 0.2011
La5 0.7874 0.7874 0.8006
La6 0.9173 0.5635 0.2011
As1 0.5000 0.5000 0.0000
Os1 0.1674 0.8326 0.0000
Os2 0.8326 0.1674 0.0000
Br1 0.0000 0.0000 0.5000
Br2 0.3379 0.6621 0.5000
Br3 0.6621 0.3379 0.5000

=====

[6]
## LuThIr (PBE)

Data for LuThIr after structural relaxation.

Values from the calculation:
Uncorrected energy (eV/atom): -7.577
Mass density (g/cm3): 12.2
Space group: F-43m, No. 216
E above lowest polymorph (meV per atom): 0
Energy of formation (kJ/mol of atoms): -62.1

abc: 6.8836 6.8836 6.8836
angles: 90.00 90.00 90.00
Atoms (fractional coordinates):
Lu1 0.0000 0.0000 0.0000
Lu2 0.0000 0.5000 0.5000
Lu3 0.5000 0.0000 0.5000
Lu4 0.5000 0.5000 0.0000
Th1 0.0000 0.0000 0.5000
Th2 0.0000 0.5000 0.0000
Th3 0.5000 0.0000 0.0000
Th4 0.5000 0.5000 0.5000
Ir1 0.2500 0.2500 0.2500
Ir2 0.2500 0.7500 0.7500
Ir3 0.7500 0.2500 0.7500
Ir4 0.7500 0.7500 0.2500

=====

[7]
## Dy3Ge13Os4 (PBE)

Data for Dy3Ge13Os4 after structural relaxation.

Values from the calculation:
Uncorrected energy (eV/atom): -6.279
Mass density (g/cm3): 9.8
Space group: Pm-3n, No. 223
Energy of formation (kJ/mol of atoms): -32.9

abc: 9.0719 9.0719 9.0719
angles: 90.00 90.00 90.00
Atoms (fractional coordinates):
Dy1 0.0000 0.2500 0.5000
Dy2 0.0000 0.7500 0.5000
Dy3 0.2500 0.5000 0.0000
Dy4 0.5000 0.0000 0.2500
Dy5 0.5000 0.0000 0.7500
Dy6 0.7500 0.5000 0.0000
Ge1 0.0000 0.0000 0.0000
Ge2 0.0000 0.2982 0.1452
Ge3 0.0000 0.2982 0.8548
Ge4 0.0000 0.7018 0.1452
Ge5 0.0000 0.7018 0.8548
Ge6 0.1452 0.0000 0.2982
Ge7 0.1452 0.0000 0.7018
Ge8 0.2018 0.5000 0.3548
Ge9 0.2018 0.5000 0.6452
Ge10 0.2982 0.1452 0.0000
Ge11 0.2982 0.8548 0.0000
Ge12 0.3548 0.2018 0.5000
Ge13 0.3548 0.7982 0.5000
Ge14 0.5000 0.3548 0.2018
Ge15 0.5000 0.3548 0.7982
Ge16 0.5000 0.5000 0.5000
Ge17 0.5000 0.6452 0.2018
Ge18 0.5000 0.6452 0.7982
Ge19 0.6452 0.2018 0.5000
Ge20 0.6452 0.7982 0.5000
Ge21 0.7018 0.1452 0.0000
Ge22 0.7018 0.8548 0.0000
Ge23 0.7982 0.5000 0.3548
Ge24 0.7982 0.5000 0.6452
Ge25 0.8548 0.0000 0.2982
Ge26 0.8548 0.0000 0.7018
Os1 0.2500 0.2500 0.2500
Os2 0.2500 0.2500 0.7500
Os3 0.2500 0.7500 0.2500
Os4 0.2500 0.7500 0.7500
Os5 0.7500 0.2500 0.2500
Os6 0.7500 0.2500 0.7500
Os7 0.7500 0.7500 0.2500
Os8 0.7500 0.7500 0.7500

=====

[8]
## LiPr4Ga2 (PBE)

Data for LiPr4Ga2 after structural relaxation.

Values from the calculation:
Uncorrected energy (eV/atom): -4.156
Mass density (g/cm3): 5.9
Space group: R-3m, No. 166
E above lowest polymorph (meV per atom): 0
Energy of formation (kJ/mol of atoms): -27.6

abc: 8.8635 8.8635 8.8635
angles: 34.44 34.44 34.44
Atoms (fractional coordinates):
Li1 0.0000 0.0000 0.0000
Pr1 0.1325 0.1325 0.1325
Pr2 0.3859 0.3859 0.3859
Pr3 0.6141 0.6141 0.6141
Pr4 0.8675 0.8675 0.8675
Ga1 0.2589 0.2589 0.2589
Ga2 0.7411 0.7411 0.7411

=====

What is the mass density in the first record?
9.1 g/cm3

=====

What is the mass density in the eighth record?
5.9 g/cm3

=====

mass density of number 3 (ErRuO)?
9.8 g/cm3

=====

mass density of number 8 (LiPr4Ga2)?
5.9 g/cm3